Dy5YHo3: relaxed, GGA-PBE.

Summary:
calculated formation energy	4.7	eV per formula unit

Unit cell a=9.448 b=9.448 c=11.544 alpha=52.92 beta=52.92 gamma=74.14
Element x y z (fractional)
Dy 0.852 0.348 0.251
Dy 0.258 0.742 0.000
Dy 0.817 0.817 0.961
Dy 0.492 0.492 0.232
Dy 0.508 0.508 0.768
Dy 0.183 0.183 0.039
Dy 0.348 0.852 0.251
Dy 0.742 0.258 0.000
Dy 0.148 0.652 0.749
Dy 0.652 0.148 0.749
Y 0.151 0.151 0.597
Y 0.849 0.849 0.403
Ho 0.691 0.691 0.819
Ho 0.659 0.659 0.360
Ho 0.000 0.000 0.000
Ho 0.000 0.000 0.500
Ho 0.309 0.309 0.181
Ho 0.341 0.341 0.640

=====

TlSbPCl2: relaxed, GGA-PBE.

Summary:
formation energy from raw total energies	0.394	eV/atom

Unit cell a=5.216 b=5.216 c=5.459 alpha=90.00 beta=90.00 gamma=90.00
Element x y z (fractional)
Sb 0.500 0.500 0.500
Tl 0.000 0.000 0.000
P 0.000 0.000 0.500
Cl 0.000 0.500 0.000
Cl 0.500 0.000 0.000

=====

Tb2Ce5Th6: relaxed, GGA-PBE.

Summary:
calculated formation energy	2.1	eV per formula unit

Unit cell a=3.428 b=11.563 c=20.236 alpha=90.00 beta=90.00 gamma=90.00
Element x y z (fractional)
Tb 0.000 0.338 0.286
Tb 0.000 0.662 0.714
Tb 0.000 0.838 0.214
Tb 0.000 0.162 0.786
Ce 0.500 0.280 0.456
Ce 0.500 0.720 0.544
Ce 0.500 0.780 0.044
Ce 0.500 0.220 0.956
Ce 0.500 0.591 0.272
Ce 0.500 0.409 0.728
Ce 0.500 0.091 0.228
Ce 0.500 0.909 0.772
Ce 0.500 0.500 0.000
Ce 0.500 0.000 0.500
Th 0.000 0.071 0.362
Th 0.000 0.929 0.638
Th 0.000 0.571 0.138
Th 0.000 0.429 0.862
Th 0.500 0.298 0.122
Th 0.500 0.702 0.878
Th 0.500 0.798 0.378
Th 0.500 0.202 0.622
Th 0.000 0.544 0.421
Th 0.000 0.456 0.579
Th 0.000 0.044 0.079
Th 0.000 0.956 0.921

=====

PdPbW2: relaxed, GGA-PBE.

Summary:
calculated formation energy	4.6	eV per formula unit

Unit cell a=7.541 b=7.541 c=5.986 alpha=50.95 beta=50.95 gamma=90.00
Element x y z (fractional)
Pb 0.000 0.000 0.000
Pb 0.750 0.250 0.500
Pd 0.500 0.500 0.000
Pd 0.250 0.750 0.500
W 0.602 0.125 0.250
W 0.148 0.625 0.250
W 0.375 0.398 0.750
W 0.875 0.852 0.750

=====

Be6AlAu12: relaxed, GGA-PBE.

Summary:
calculated formation energy	-1.4	eV per formula unit

Unit cell a=7.201 b=7.201 c=7.201 alpha=109.47 beta=109.47 gamma=109.47
Element x y z (fractional)
Be 0.369 0.500 0.869
Be 0.631 0.500 0.131
Be 0.500 0.869 0.369
Be 0.500 0.131 0.631
Be 0.869 0.369 0.500
Be 0.131 0.631 0.500
Al 0.000 0.000 0.000
Au 0.297 0.122 0.825
Au 0.297 0.472 0.175
Au 0.703 0.528 0.825
Au 0.703 0.878 0.175
Au 0.122 0.825 0.297
Au 0.472 0.175 0.297
Au 0.528 0.825 0.703
Au 0.878 0.175 0.703
Au 0.825 0.297 0.122
Au 0.175 0.297 0.472
Au 0.825 0.703 0.528
Au 0.175 0.703 0.878

=====

YPuInHg: relaxed, GGA-PBE.

Summary:
calculated formation energy	-1.1	eV per formula unit

Unit cell a=5.336 b=5.336 c=5.336 alpha=60.00 beta=60.00 gamma=60.00
Element x y z (fractional)
Y 0.750 0.750 0.750
In 0.500 0.500 0.500
Hg 0.000 0.000 0.000
Pu 0.250 0.250 0.250

=====

ErThRePd: relaxed, GGA-PBE.

Summary:
calculated formation energy	-1.3	eV per formula unit

Unit cell a=4.978 b=4.978 c=4.978 alpha=60.00 beta=60.00 gamma=60.00
Element x y z (fractional)
Re 0.500 0.500 0.500
Pd 0.000 0.000 0.000
Th 0.750 0.750 0.750
Er 0.250 0.250 0.250

=====

Li3NdHg3: relaxed, GGA-PBE.

Summary:
calculated formation energy	-0.1	eV per formula unit

Unit cell a=7.001 b=7.001 c=7.001 alpha=90.00 beta=90.00 gamma=90.00
Element x y z (fractional)
Nd 0.500 0.500 0.500
Nd 0.000 0.000 0.000
Hg 0.000 0.250 0.500
Hg 0.000 0.750 0.500
Hg 0.500 0.000 0.750
Hg 0.750 0.500 0.000
Hg 0.500 0.000 0.250
Hg 0.250 0.500 0.000
Li 0.250 0.000 0.500
Li 0.000 0.500 0.250
Li 0.500 0.750 0.000
Li 0.750 0.000 0.500
Li 0.000 0.500 0.750
Li 0.500 0.250 0.000

=====

Tb2NdY: relaxed, GGA-PBE.

Summary:
calculated formation energy	0.1	eV per formula unit

Unit cell a=6.317 b=3.664 c=12.074 alpha=72.32 beta=90.09 gamma=90.02
Element x y z (fractional)
Tb 0.785 0.986 0.230
Tb 0.785 0.480 0.736
Tb 0.117 0.736 0.480
Tb 0.117 0.231 0.986
Nd 0.282 0.982 0.735
Nd 0.620 0.235 0.481
Y 0.283 0.485 0.232
Y 0.618 0.732 0.984

=====

PaH4Pt: relaxed, GGA-PBE.

Unit cell a=4.301 b=4.355 c=6.221 alpha=90.00 beta=93.55 gamma=90.00
Element x y z (fractional)
Pa 0.237 0.250 0.269
Pa 0.763 0.750 0.731
H 0.248 0.952 0.589
H 0.752 0.452 0.411
H 0.248 0.548 0.589
H 0.752 0.048 0.411
H 0.067 0.750 0.084
H 0.933 0.250 0.916
H 0.500 0.000 0.000
H 0.500 0.500 0.000
Pt 0.279 0.250 0.785
Pt 0.721 0.750 0.215

=====

Ag4PdAu5: relaxed, GGA-PBE.

Summary:
calculated formation energy	-0.5	eV per formula unit

Unit cell a=5.070 b=8.235 c=5.062 alpha=113.84 beta=98.71 gamma=65.87
Element x y z (fractional)
Ag 0.700 0.298 0.398
Ag 0.099 0.901 0.198
Ag 0.300 0.702 0.602
Ag 0.901 0.099 0.802
Pd 0.500 0.000 0.000
Au 0.302 0.197 0.598
Au 0.103 0.396 0.199
Au 0.897 0.604 0.801
Au 0.500 0.500 0.000
Au 0.698 0.803 0.402

=====

We obtain calculated total energy values of -4.2772; -2.7244; -6.2594; -7.5427; -3.5198; -6.2348; -7.7372; -1.6490; -5.1057; -5.1022; -3.3526 eV/atom for the records listed above, in that order.
We obtain density values of 7.14; 4.79; 9.98; 14.63; 14.12; 10.02; 13.17; 7.42; 6.87; 12.28; 14.33 Mg/m³ for the records listed above, in that order.